VASP calculation (GGA-PBE) on a relaxed structure of NbCuSn2.

POSCAR file:
```
NbCuSn2
1.0
0.0000 3.4387 3.4387
3.4387 0.0000 3.4387
3.4387 3.4387 0.0000
Sn Nb Cu
2 1 1
direct
0.0000 0.0000 0.0000
0.7500 0.7500 0.7500
0.5000 0.5000 0.5000
0.2500 0.2500 0.2500
```

Properties
- SG: F-43m, No. 216
- VASP energy: -19.69 eV for the cell shown
- Crystal system: cubic
- Calculated volume: 81.3 Å³/f.u.
- Total magnetic moment: 0.38 μB per cell

VASP calculation (GGA-PBE) on a relaxed structure of Nb3CuSn5.

POSCAR file:
```
Nb3CuSn5
1.0
-4.0451 -3.4740 -2.2490
5.3350 -2.0208 0.9712
-2.0690 -2.1085 6.9782
Sn Nb Cu
5 3 1
direct
0.0000 0.0000 0.5000
0.6667 0.3333 0.1849
0.3333 0.6667 0.8151
0.3333 0.6667 0.1849
0.6667 0.3333 0.8151
0.0000 0.5000 0.5000
0.5000 0.5000 0.5000
0.5000 0.0000 0.5000
0.0000 0.0000 0.0000
```

Properties
- SG: P6/mmm, No. 191
- VASP energy: -52.03 eV for the cell shown
- Crystal system: hexagonal
- Calculated volume: 219.8 Å³/f.u.
- Total magnetic moment: 0.00 μB per cell

VASP calculation (GGA-PBE) on a relaxed structure of Nb5CuSn3.

POSCAR file:
```
Nb5CuSn3
1.0
-4.4807 -0.9976 -6.9164
-3.3723 -1.6485 7.4040
-1.7653 5.3088 0.3779
Nb Sn Cu
10 6 2
direct
0.3333 0.6667 0.5000
0.3333 0.6667 0.0000
0.0000 0.2674 0.2500
0.6667 0.3333 0.0000
0.7326 0.0000 0.7500
0.0000 0.7326 0.7500
0.7326 0.7326 0.2500
0.2674 0.2674 0.7500
0.2674 0.0000 0.2500
0.6667 0.3333 0.5000
0.6145 0.6145 0.7500
0.3855 0.0000 0.7500
0.3855 0.3855 0.2500
0.0000 0.6145 0.2500
0.6145 0.0000 0.2500
0.0000 0.3855 0.7500
0.0000 0.0000 0.5000
0.0000 0.0000 0.0000
```

Properties
- SG: P6_3/mcm, No. 193
- VASP energy: -134.78 eV for the cell shown
- Crystal system: hexagonal
- Calculated volume: 167.3 Å³/f.u.
- Total magnetic moment: 0.01 μB per cell

VASP calculation (GGA-PBE) on a relaxed structure of TaNbCuSn.

POSCAR file:
```
TaNbCuSn
1.0
0.0000 3.2879 3.2879
3.2879 0.0000 3.2879
3.2879 3.2879 0.0000
Nb Ta Sn Cu
1 1 1 1
direct
0.2500 0.2500 0.2500
0.5000 0.5000 0.5000
0.0000 0.0000 0.0000
0.7500 0.7500 0.7500
```

Properties
- Relative energy among the computed polymorphs: 0.0 kJ per mole of atoms
- SG: F-43m, No. 216
- VASP energy: -28.40 eV for the cell shown
- Crystal system: cubic
- Calculated volume: 71.1 Å³/f.u.
- Total magnetic moment: 0.00 μB per cell

VASP calculation (GGA-PBE) on a relaxed structure of NbCuSnW.

POSCAR file:
```
NbCuSnW
1.0
0.0000 3.2434 3.2434
3.2434 0.0000 3.2434
3.2434 3.2434 0.0000
W Sn Nb Cu
1 1 1 1
direct
0.2500 0.2500 0.2500
0.0000 0.0000 0.0000
0.5000 0.5000 0.5000
0.7500 0.7500 0.7500
```

Properties
- Relative energy among the computed polymorphs: 0.0 kJ per mole of atoms
- SG: F-43m, No. 216
- VASP energy: -29.38 eV for the cell shown
- Crystal system: cubic
- Calculated volume: 68.2 Å³/f.u.
- Total magnetic moment: 0.00 μB per cell

VASP calculation (GGA-PBE) on a relaxed structure of YNbCuSn.

POSCAR file:
```
YNbCuSn
1.0
0.0000 3.4509 3.4509
3.4509 0.0000 3.4509
3.4509 3.4509 0.0000
Sn Cu Nb Y
1 1 1 1
direct
0.0000 0.0000 0.0000
0.7500 0.7500 0.7500
0.2500 0.2500 0.2500
0.5000 0.5000 0.5000
```

Properties
- Relative energy among the computed polymorphs: 0.0 kJ per mole of atoms
- SG: F-43m, No. 216
- VASP energy: -23.30 eV for the cell shown
- Crystal system: cubic
- Calculated volume: 82.2 Å³/f.u.
- Total magnetic moment: 1.66 μB per cell

VASP calculation (GGA-PBE) on a relaxed structure of NbZnCuSn.

POSCAR file:
```
NbZnCuSn
1.0
0.0000 3.2419 3.2419
3.2419 0.0000 3.2419
3.2419 3.2419 0.0000
Zn Nb Sn Cu
1 1 1 1
direct
0.2500 0.2500 0.2500
0.5000 0.5000 0.5000
0.0000 0.0000 0.0000
0.7500 0.7500 0.7500
```

Properties
- Relative energy among the computed polymorphs: 6.0 kJ per mole of atoms
- SG: F-43m, No. 216
- VASP energy: -17.74 eV for the cell shown
- Crystal system: cubic
- Calculated volume: 68.1 Å³/f.u.
- Total magnetic moment: 1.79 μB per cell

VASP calculation (GGA-PBE) on a relaxed structure of NbZnCuSn.

POSCAR file:
```
NbZnCuSn
1.0
-4.4015 -0.9748 -0.8725
-2.9829 3.3921 -0.8248
-1.6887 0.5947 -4.2283
Sn Nb Zn Cu
1 1 1 1
direct
0.0000 0.0000 0.0000
0.2500 0.2500 0.2500
0.5000 0.5000 0.5000
0.7500 0.7500 0.7500
```

Properties
- Relative energy among the computed polymorphs: 0.0 kJ per mole of atoms
- SG: F-43m, No. 216
- VASP energy: -17.99 eV for the cell shown
- Crystal system: cubic
- Calculated volume: 68.5 Å³/f.u.
- Total magnetic moment: 1.27 μB per cell

VASP calculation (GGA-PBE) on a relaxed structure of ZrNbCu2Sn4.

POSCAR file:
```
ZrNbCu2Sn4
1.0
-1.4568 0.0074 -3.8414
1.9788 -3.5200 -0.7572
-7.4629 -4.8021 2.8208
Sn Cu Nb Zr
4 2 1 1
direct
0.0000 0.5000 0.4946
0.5000 0.0000 0.4946
0.5000 0.5000 0.8238
0.0000 0.0000 0.1797
0.5000 0.0000 0.0026
0.0000 0.5000 0.0026
0.5000 0.5000 0.2582
0.0000 0.0000 0.7439
```

Properties
- SG: P4mm, No. 99
- VASP energy: -43.44 eV for the cell shown
- Crystal system: tetragonal
- Calculated volume: 157.2 Å³/f.u.
- Total magnetic moment: 0.02 μB per cell

VASP calculation (GGA-PBE) on a relaxed structure of SrNbCu.

POSCAR file:
```
SrNbCu
1.0
4.6065 -1.1125 0.8707
1.6481 -0.0669 4.5271
1.1108 -4.1930 2.0977
Nb Sr Cu
1 1 1
direct
0.2500 0.2500 0.2500
0.7500 0.7500 0.7500
0.0000 0.0000 0.0000
```

Properties
- Relative energy among the computed polymorphs: 0.0 kJ per mole of atoms
- SG: F-43m, No. 216
- VASP energy: -12.45 eV for the cell shown
- Crystal system: cubic
- Calculated volume: 79.1 Å³/f.u.
- Total magnetic moment: 3.44 μB per cell

VASP calculation (GGA-PBE) on a relaxed structure of SrNbCu.

POSCAR file:
```
SrNbCu
1.0
0.0000 3.5252 3.5252
3.5252 0.0000 3.5252
3.5252 3.5252 0.0000
Nb Sr Cu
1 1 1
direct
0.7500 0.7500 0.7500
0.0000 0.0000 0.0000
0.2500 0.2500 0.2500
```

Properties
- Relative energy among the computed polymorphs: 67.1 kJ per mole of atoms
- SG: F-43m, No. 216
- VASP energy: -10.36 eV for the cell shown
- Crystal system: cubic
- Calculated volume: 87.6 Å³/f.u.
- Total magnetic moment: 4.22 μB per cell

VASP calculation (GGA-PBE) on a relaxed structure of TaNbCu.

POSCAR file:
```
TaNbCu
1.0
-3.6417 0.8228 2.0179
-1.4116 3.9919 0.2875
-3.4214 1.2047 -2.2030
Cu Ta Nb
1 1 1
direct
0.0000 0.0000 0.0000
0.7500 0.7500 0.7500
0.2500 0.2500 0.2500
```

Properties
- Relative energy among the computed polymorphs: 0.0 kJ per mole of atoms
- SG: F-43m, No. 216
- VASP energy: -23.88 eV for the cell shown
- Crystal system: cubic
- ΔH_f (0 K): 57.45 kJ/mol of atoms
- Calculated volume: 54.0 Å³/f.u.
- Total magnetic moment: 0.00 μB per cell

VASP calculation (GGA-PBE) on a relaxed structure of NbCuTc2.

POSCAR file:
```
NbCuTc2
1.0
0.0000 3.1037 3.1037
3.1037 0.0000 3.1037
3.1037 3.1037 0.0000
Nb Tc Cu
1 2 1
direct
0.2500 0.2500 0.2500
0.7500 0.7500 0.7500
0.5000 0.5000 0.5000
0.0000 0.0000 0.0000
```

Properties
- SG: F-43m, No. 216
- VASP energy: -33.85 eV for the cell shown
- Crystal system: cubic
- ΔH_f (0 K): 16.34 kJ/mol of atoms
- Calculated volume: 59.8 Å³/f.u.
- Total magnetic moment: 0.03 μB per cell

VASP calculation (GGA-PBE) on a relaxed structure of NbCu2Tc.

POSCAR file:
```
NbCu2Tc
1.0
0.0000 3.0647 3.0647
3.0647 0.0000 3.0647
3.0647 3.0647 0.0000
Nb Tc Cu
1 1 2
direct
0.5000 0.5000 0.5000
0.2500 0.2500 0.2500
0.7500 0.7500 0.7500
0.0000 0.0000 0.0000
```

Properties
- SG: F-43m, No. 216
- VASP energy: -26.99 eV for the cell shown
- Crystal system: cubic
- ΔH_f (0 K): 21.56 kJ/mol of atoms
- Calculated volume: 57.6 Å³/f.u.
- Total magnetic moment: 0.01 μB per cell

VASP calculation (GGA-PBE) on a relaxed structure of NbTlCuTc.

POSCAR file:
```
NbTlCuTc
1.0
-1.5977 0.8983 4.1833
-0.1461 4.3070 1.5126
-4.0201 2.1078 0.5052
Tc Cu Tl Nb
1 1 1 1
direct
0.2500 0.2500 0.2500
0.7500 0.7500 0.7500
0.0000 0.0000 0.0000
0.5000 0.5000 0.5000
```

Properties
- Relative energy among the computed polymorphs: 0.0 kJ per mole of atoms
- SG: F-43m, No. 216
- VASP energy: -24.94 eV for the cell shown
- Crystal system: cubic
- Calculated volume: 67.4 Å³/f.u.
- Total magnetic moment: 0.00 μB per cell

VASP calculation (GGA-PBE) on a relaxed structure of Nb3CuTe5.

POSCAR file:
```
Nb3CuTe5
1.0
-4.6524 2.5988 2.5156
3.6191 -3.3375 3.2388
4.6191 6.6410 1.6821
Nb Te Cu
3 5 1
direct
0.5000 0.0000 0.5000
0.5000 0.5000 0.5000
0.0000 0.5000 0.5000
0.6667 0.3333 0.2226
0.6667 0.3333 0.7774
0.3333 0.6667 0.2226
0.3333 0.6667 0.7774
0.0000 0.0000 0.5000
0.0000 0.0000 0.0000
```

Properties
- SG: P6/mmm, No. 191
- VASP energy: -49.80 eV for the cell shown
- Crystal system: hexagonal
- Calculated volume: 248.5 Å³/f.u.
- Total magnetic moment: 0.00 μB per cell

VASP calculation (GGA-PBE) on a relaxed structure of Nb2CuTe.

POSCAR file:
```
Nb2CuTe
1.0
4.5668 0.0805 0.9629
1.9504 3.8670 1.7411
1.4486 0.0891 4.4365
Nb Cu Te
2 1 1
direct
0.7500 0.7500 0.7500
0.0000 0.0000 0.0000
0.2500 0.2500 0.2500
0.5000 0.5000 0.5000
```

Properties
- SG: F-43m, No. 216
- VASP energy: -25.47 eV for the cell shown
- Crystal system: cubic
- Calculated volume: 71.9 Å³/f.u.
- Total magnetic moment: 0.01 μB per cell

VASP calculation (GGA-PBE) on a relaxed structure of NbTl2Cu.

POSCAR file:
```
NbTl2Cu
1.0
-1.0078 -4.5979 -1.4176
-0.0332 -3.6394 3.3044
-4.2504 -2.0980 1.3031
Tl Nb Cu
2 1 1
direct
0.5000 0.5000 0.5000
0.7500 0.7500 0.7500
0.2500 0.2500 0.2500
0.0000 0.0000 0.0000
```

Properties
- SG: F-43m, No. 216
- VASP energy: -15.47 eV for the cell shown
- Crystal system: cubic
- Calculated volume: 84.0 Å³/f.u.
- Total magnetic moment: 2.01 μB per cell

VASP calculation (GGA-PBE) on a relaxed structure of YNbTlCu.

POSCAR file:
```
YNbTlCu
1.0
-0.0911 -4.9062 -0.5998
-3.3674 -2.0647 -2.9727
1.3925 -1.9901 -4.3057
Cu Nb Y Tl
1 1 1 1
direct
0.7500 0.7500 0.7500
0.2500 0.2500 0.2500
0.5000 0.5000 0.5000
0.0000 0.0000 0.0000
```

Properties
- Relative energy among the computed polymorphs: 0.0 kJ per mole of atoms
- SG: F-43m, No. 216
- VASP energy: -20.87 eV for the cell shown
- Crystal system: cubic
- Calculated volume: 85.4 Å³/f.u.
- Total magnetic moment: 3.34 μB per cell

VASP calculation (GGA-PBE) on a relaxed structure of NbTlZnCu.

POSCAR file:
```
NbTlZnCu
1.0
3.6281 2.7939 0.6809
0.1214 2.7754 3.7033
2.9721 -0.8630 3.4430
Cu Tl Nb Zn
1 1 1 1
direct
0.7500 0.7500 0.7500
0.0000 0.0000 0.0000
0.2500 0.2500 0.2500
0.5000 0.5000 0.5000
```

Properties
- Relative energy among the computed polymorphs: 0.7 kJ per mole of atoms
- SG: F-43m, No. 216
- VASP energy: -15.55 eV for the cell shown
- Crystal system: cubic
- Calculated volume: 70.2 Å³/f.u.
- Total magnetic moment: 1.21 μB per cell